{
  "formula": "InTeRh2",
  "functional": "SCAN",
  "state": "single point on PBEsol structure",
  "de_polymorph_ev_per_atom": 0.069,
  "volume_a3_per_cell": 71,
  "lattice": [[3.1927, 0.0000, 0.0000], [1.5964, 2.7650, 0.0000], [1.5964, 0.9217, 8.0203]],
  "species": ["Rh", "Rh", "Te", "In"],
  "frac_coords": [[0.7525, 0.7525, 0.7425], [0.2475, 0.2475, 0.2575], [0.5000, 0.5000, 0.5000], [0.0000, 0.0000, 0.0000]]
}